# ScMoO3

ScMoO3 after structural relaxation (PBE with a Hubbard U, Alexandria).

Unit cell a=3.988 b=3.988 c=3.988 alpha=90.00 beta=90.00 gamma=90.00
Sites, in units of the cell vectors:
Sc1 0.000 0.000 0.000
Mo1 0.500 0.500 0.500
O1 0.000 0.000 0.500
O2 0.000 0.500 0.000
O3 0.500 0.000 0.000

* calculated volume: 12.69 Å³/atom
* theoretical density: 4.94 g cm⁻³
* raw total energy: -35.8 eV/f.u.